{
  "formula": "Na2Mo3O13",
  "functional": "PBE with a Hubbard U",
  "state": "relaxed",
  "relative_energy_ev_per_atom": 0.179,
  "dos_at_fermi_per_ev_atom": 0.14,
  "lattice": [[-7.8987, 0.9615, -3.6837], [-7.4711, -2.6680, -3.7347], [-9.2167, -1.1558, 4.9874]],
  "species": ["O", "O", "O", "O", "O", "O", "O", "O", "O", "O", "O", "O", "O", "Mo", "Mo", "Mo", "Na", "Na"],
  "frac_coords": [[0.4151, 0.4151, 0.0210], [0.7783, 0.7783, 0.1542], [0.5826, 0.5826, 0.9940], [0.9500, 0.9500, 0.1723], [0.4420, 0.4420, 0.3870], [0.1565, 0.1565, 0.0778], [0.2474, 0.2474, 0.7574], [0.0451, 0.0451, 0.5333], [0.2941, 0.2941, 0.3631], [0.5503, 0.5503, 0.5368], [0.0462, 0.0462, 0.8530], [0.8771, 0.8771, 0.8349], [0.6047, 0.6047, 0.6915], [0.8969, 0.8969, 0.9769], [0.1331, 0.1331, 0.9370], [0.4179, 0.4179, 0.2477], [0.8842, 0.8842, 0.6084], [0.1791, 0.1791, 0.2805]]
}